DFT (PBE) results for a relaxed structure of YScTe.

The value obtained for the uncorrected formation energy is -0.493 eV per atom. The value obtained for the total energy is -5.805 eV per atom. The symmetry is P3m1, No. 156. The value obtained for the offset from the most stable computed form is 402 meV per atom.

a = 4.941 Å, b = 4.941 Å, c = 3.881 Å
α = 90.00°, β = 90.00°, γ = 120.00°
Sites, in units of the cell vectors:
Y: 0.333 0.667 0.626
Sc: 0.000 0.000 0.132
Te: 0.667 0.333 0.242

DFT (PBE) results for a relaxed structure of HoMgSn3.

The value obtained for the total energy is -4.012 eV per atom. The symmetry is Pbcm, No. 57.

a = 6.279 Å, b = 6.182 Å, c = 13.073 Å
α = 90.00°, β = 90.00°, γ = 90.00°
Sites, in units of the cell vectors:
Mg: 0.000 0.250 0.113
Mg: 0.500 0.250 0.113
Mg: 0.000 0.750 0.887
Mg: 0.500 0.750 0.887
Sn: 0.750 0.506 0.271
Sn: 0.750 0.006 0.729
Sn: 0.750 0.802 0.084
Sn: 0.250 0.494 0.729
Sn: 0.250 0.698 0.084
Sn: 0.500 0.250 0.500
Sn: 0.250 0.994 0.271
Sn: 0.000 0.250 0.500
Sn: 0.500 0.750 0.500
Sn: 0.250 0.198 0.916
Sn: 0.750 0.302 0.916
Sn: 0.000 0.750 0.500
Ho: 0.250 0.997 0.688
Ho: 0.250 0.497 0.312
Ho: 0.750 0.003 0.312
Ho: 0.750 0.503 0.688

DFT (PBE) results for a relaxed structure of YBe2Tc.

The value obtained for the total energy is -6.158 eV per atom. The symmetry is P4/mmm, No. 123. The value obtained for the offset from the most stable computed form is 0 meV per atom.

a = 3.185 Å, b = 3.183 Å, c = 5.768 Å
α = 90.00°, β = 90.00°, γ = 90.00°
Sites, in units of the cell vectors:
Be: 0.000 0.000 0.426
Be: 0.000 0.000 0.074
Tc: 0.500 0.500 0.250
Y: 0.500 0.500 0.750

DFT (PBE) results for a relaxed structure of Cd5Ag2Pd2Pt.

The value obtained for the total energy is -2.827 eV per atom. The symmetry is P4/mbm, No. 127.

a = 3.867 Å, b = 10.100 Å, c = 10.100 Å
α = 90.00°, β = 90.00°, γ = 90.00°
Sites, in units of the cell vectors:
Pd: 0.000 0.632 0.868
Pd: 0.000 0.368 0.132
Pd: 0.000 0.132 0.632
Pd: 0.000 0.868 0.368
Ag: 0.000 0.838 0.662
Ag: 0.000 0.162 0.338
Ag: 0.000 0.338 0.838
Ag: 0.000 0.662 0.162
Cd: 0.500 0.101 0.821
Cd: 0.500 0.321 0.601
Cd: 0.500 0.399 0.321
Cd: 0.500 0.179 0.101
Cd: 0.500 0.679 0.399
Cd: 0.500 0.000 0.500
Cd: 0.500 0.500 0.000
Cd: 0.500 0.899 0.179
Cd: 0.500 0.601 0.679
Cd: 0.500 0.821 0.899
Pt: 0.000 0.500 0.500
Pt: 0.000 0.000 0.000

| no. | V (A^3/atom) | total magnetization (Bohr magnetons per cell) |
| --- | --- | --- |
| 1 | 27.4 | 0.0 |
| 2 | 25.4 | 0.0 |
| 3 | 14.6 | 0.0 |
| 4 | 19.7 | 0.0 |